<1>
Density functional theory data (GGA-PBE) for a relaxed KNiHg2 crystal.

Unit cell a=3.6775 b=3.6967 c=7.9926 alpha=90.00 beta=90.00 gamma=90.00
Positions (direct):
K 0.0000 0.0000 0.0000
Ni 0.5000 0.5000 0.6322
Hg 0.0000 0.0000 0.5982
Hg 0.5000 0.5000 0.3031

<2>
Density functional theory data (GGA-PBE) for a relaxed KNiHg2 crystal.

Unit cell a=4.5476 b=4.5476 c=18.6739 alpha=90.00 beta=90.00 gamma=120.00
Positions (direct):
K 0.0000 0.0000 0.0000
K 0.3333 0.6667 0.6667
K 0.6667 0.3333 0.3333
Ni 0.0000 0.0000 0.5000
Ni 0.3333 0.6667 0.1667
Ni 0.6667 0.3333 0.8333
Hg 0.0000 0.0000 0.2056
Hg 0.0000 0.0000 0.7944
Hg 0.3333 0.6667 0.4611
Hg 0.3333 0.6667 0.8723
Hg 0.6667 0.3333 0.1277
Hg 0.6667 0.3333 0.5389

The most stable structure shown above is <2>; the least stable is <1>.